# 1
Material: Li4Ca3Si4
Method: DFT, PBE
State: relaxed

Structure (CIF):
```
data_Li4Ca3Si4
_chemical_formula_sum 'Li8 Ca6 Si8'
_space_group_name_H-M_alt 'I m m m'
_space_group_IT_number 71
_space_group_name_Hall '-I 2 2'
_cell_length_a 4.4228
_cell_length_b 6.8309
_cell_length_c 14.7038
_cell_angle_alpha 90.00
_cell_angle_beta 90.00
_cell_angle_gamma 90.00
loop_
_atom_site_label
_atom_site_type_symbol
_atom_site_fract_x
_atom_site_fract_y
_atom_site_fract_z
Li1 Li 0.0000 0.1944 0.1730
Ca1 Ca 0.0000 0.0000 0.3664
Ca2 Ca 0.0000 0.5000 0.5000
Si1 Si 0.0000 0.3327 0.0000
Si2 Si 0.0000 0.5000 0.2913
```

The volume comes out at 444.23 Å³/cell. As for the crystal system: orthorhombic. The total energy is -3.5185 eV per atom. The energy relative to the elements, uncorrected is -0.30 eV/atom.

=====

# 2
Material: LiCaSi2
Method: DFT, PBE
State: relaxed

Structure (CIF):
```
data_LiCaSi2
_chemical_formula_sum 'Li2 Ca2 Si4'
_space_group_name_H-M_alt 'I 4/m m m'
_space_group_IT_number 139
_space_group_name_Hall '-I 4 2'
_cell_length_a 4.0800
_cell_length_b 4.0800
_cell_length_c 8.7876
_cell_angle_alpha 90.00
_cell_angle_beta 90.00
_cell_angle_gamma 90.00
loop_
_atom_site_label
_atom_site_type_symbol
_atom_site_fract_x
_atom_site_fract_y
_atom_site_fract_z
Li1 Li 0.0000 0.0000 0.0000
Ca1 Ca 0.0000 0.0000 0.5000
Si1 Si 0.0000 0.5000 0.2500
```

The volume comes out at 146.28 Å³/cell. As for the crystal system: tetragonal. The total energy is -3.8183 eV per atom. The energy relative to the elements, uncorrected is -0.13 eV/atom.

=====

# 3
Material: LiCaSi2
Method: DFT, PBE
State: relaxed

Structure (CIF):
```
data_LiCaSi2
_chemical_formula_sum 'Li4 Ca4 Si8'
_space_group_name_H-M_alt 'F m -3 m'
_space_group_IT_number 225
_space_group_name_Hall '-F 4 2 3'
_cell_length_a 6.7610
_cell_length_b 6.7610
_cell_length_c 6.7610
_cell_angle_alpha 90.00
_cell_angle_beta 90.00
_cell_angle_gamma 90.00
loop_
_atom_site_label
_atom_site_type_symbol
_atom_site_fract_x
_atom_site_fract_y
_atom_site_fract_z
Li1 Li 0.0000 0.0000 0.0000
Ca1 Ca 0.0000 0.0000 0.5000
Si1 Si 0.2500 0.2500 0.2500
```

The volume comes out at 309.05 Å³/cell. As for the crystal system: cubic. The total energy is -3.7150 eV per atom. The energy relative to the elements, uncorrected is -0.02 eV/atom.

=====

- What is the energy relative to the elements, uncorrected in the second record?
  -0.13 eV/atom

=====

- Which of these has the lowest energy relative to the elements, uncorrected?
  Li4Ca3Si4

=====

- The lowest energy relative to the elements, uncorrected belongs to which entry?
  Li4Ca3Si4

=====

- Among the records above, which one has the highest energy relative to the elements, uncorrected?
  number 3